No. 1
Compound: La2Tb2Ho5
Source: Alexandria
Functional: PBE
Structure: optimized geometry

Cell: 10.137 10.137 10.137 Å, 84.86 108.10 141.16°
Fractional positions:
1 La 0.002 0.127 0.129
2 La 0.002 0.373 0.375
3 La 0.998 0.627 0.625
4 La 0.998 0.873 0.871
5 Tb 0.449 0.208 0.741
6 Tb 0.467 0.708 0.259
7 Tb 0.541 0.041 0.500
8 Tb 0.541 0.541 0.000
9 Ho 0.113 0.412 0.806
10 Ho 0.113 0.807 0.201
11 Ho 0.393 0.901 0.992
12 Ho 0.444 0.320 0.410
13 Ho 0.444 0.534 0.624
14 Ho 0.606 0.307 0.194
15 Ho 0.606 0.912 0.799
16 Ho 0.909 0.401 0.008
17 Ho 0.910 0.034 0.590
18 Ho 0.910 0.820 0.376

Computed properties:
Spin magnetization ... 0.000 Bohr magnetons per cell
Crystal system ... orthorhombic
Polymorph energy (0 for the lowest one) ... 0 meV/atom
Total DFT energy (no corrections) ... -4.46 eV per atom
Formation enthalpy at 0 K ... 0.206 eV/atom

=====

No. 2
Compound: DyZn12Au4
Source: Alexandria
Functional: PBE
Structure: optimized geometry

Cell: 7.655 7.655 7.655 Å, 109.47 109.47 109.47°
Fractional positions:
1 Dy 0.000 0.000 0.000
2 Zn 0.145 0.355 0.501
3 Zn 0.145 0.645 0.790
4 Zn 0.210 0.855 0.355
5 Zn 0.355 0.210 0.855
6 Zn 0.355 0.501 0.145
7 Zn 0.499 0.855 0.645
8 Zn 0.501 0.145 0.355
9 Zn 0.645 0.499 0.855
10 Zn 0.645 0.790 0.145
11 Zn 0.790 0.145 0.645
12 Zn 0.855 0.355 0.210
13 Zn 0.855 0.645 0.499
14 Au 0.000 0.000 0.500
15 Au 0.000 0.500 0.000
16 Au 0.500 0.000 0.000
17 Au 0.500 0.500 0.500

Computed properties:
Spin magnetization ... 0.000 Bohr magnetons per cell
Crystal system ... cubic
Total DFT energy (no corrections) ... -1.92 eV per atom
Formation enthalpy at 0 K ... 0.023 eV/atom

=====

No. 3
Compound: NdHoCuPd
Source: Alexandria
Functional: PBE
Structure: optimized geometry

Cell: 4.603 5.604 5.604 Å, 39.81 90.00 90.00°
Fractional positions:
1 Nd 0.000 0.000 0.000
2 Ho 0.500 0.723 0.723
3 Cu 0.000 0.281 0.281
4 Pd 0.500 0.433 0.433

Computed properties:
Spin magnetization ... 0.000 Bohr magnetons per cell
Crystal system ... orthorhombic
Polymorph energy (0 for the lowest one) ... 0 meV/atom
Total DFT energy (no corrections) ... -5.20 eV per atom
Formation enthalpy at 0 K ... -0.543 eV/atom

=====

spin magnetization of number 3 (NdHoCuPd)? 0.000 Bohr magnetons per cell

=====

The highest formation enthalpy at 0 K belongs to which entry? La2Tb2Ho5